Compound: RbCd2Pb
Source: the Alexandria database
Functional: PBE
Structure: optimized geometry

Calculated values
As for the density: 5.60 g cm⁻³. The calculation puts the formation energy at -39 meV/atom.

The structure in CIF format:
```
data_RbCd2Pb
_chemical_formula_sum 'Rb3 Cd6 Pb3'
_cell_length_a 5.2730
_cell_length_b 5.2730
_cell_length_c 19.1034
_cell_angle_alpha 90.00
_cell_angle_beta 90.00
_cell_angle_gamma 120.00
_symmetry_space_group_name_H-M 'R -3 m'
_symmetry_Int_Tables_number 166
_symmetry_space_group_name_Hall '-R 3 2"'
loop_
_atom_site_label
_atom_site_type_symbol
_atom_site_fract_x
_atom_site_fract_y
_atom_site_fract_z
Rb1 Rb 0.0000 0.0000 0.0000
Cd1 Cd 0.0000 0.0000 0.2021
Pb1 Pb 0.0000 0.0000 0.5000
```